Computed, not measured: crystalline K2CrPbF6 at its relaxed geometry at the GGA+U level of DFT.

The structure in extended XYZ format:
```
10
Lattice="6.2792 0.0000 -0.2015 0.0000 6.1426 0.0000 -2.7127 -3.0713 4.7470" Properties=species:S:1:pos:R:3 pbc="T T T"
K 0.0908 0.0000 2.2528
K 3.4758 3.0713 2.2928
Cr 0.0000 3.0713 0.0000
Pb 3.1396 0.0000 -0.1007
F 0.8293 3.0713 2.2553
F -1.3624 -1.4323 4.1802
F 4.9290 1.6390 0.3654
F -1.3624 1.4323 4.1802
F 4.9290 4.5036 0.3654
F 2.7373 0.0000 2.2902
```

Properties
Volume: 179.74 Å³ per cell
E: -5.065 eV per atom